Entry 1:
5
Lattice="5.864 0.000 0.000 0.000 5.864 0.000 0.000 0.000 5.931" Properties=species:S:1:pos:R:3 comment="meta-GGA SCAN CsSrSe2Br, single point on PBEsol structure" e_tot_ev_per_cell=-125.8 sg="P4/mmm (123)" raw_formation_energy_ev_per_atom=-1.210 crystal_system=tetragonal pbc="T T T"
Cs 0.000 0.000 0.000
Sr 2.932 2.932 2.966
Se 0.000 2.932 2.966
Se 2.932 0.000 2.966
Br 2.932 2.932 0.000

***

Entry 2:
5
Lattice="5.595 0.000 0.000 0.000 5.595 0.000 0.000 0.000 5.992" Properties=species:S:1:pos:R:3 comment="meta-GGA SCAN CsTaSe2Br, single point on PBEsol structure" e_tot_ev_per_cell=-155.6 sg="P4/mmm (123)" raw_formation_energy_ev_per_atom=1.675 crystal_system=tetragonal pbc="T T T"
Cs 0.000 0.000 0.000
Ta 2.798 2.798 2.996
Se 0.000 2.798 0.000
Se 2.798 0.000 0.000
Br 0.000 0.000 2.996

***

Entry 3:
40
Lattice="6.493 0.000 0.000 0.000 18.767 0.000 -4.295 0.000 9.038" Properties=species:S:1:pos:R:3 comment="meta-GGA SCAN CsTc3Se4Br2, single point on PBEsol structure" e_tot_ev_per_cell=-1085.9 sg="P2_1/c (14)" raw_formation_energy_ev_per_atom=-0.924 crystal_system=monoclinic pbc="T T T"
Cs 0.056 3.593 0.460
Cs -2.091 5.790 4.979
Cs 4.289 12.977 4.059
Cs 2.141 15.174 8.579
Tc 0.451 10.884 0.980
Tc -1.697 17.267 5.500
Tc -1.684 1.107 5.924
Tc 0.463 8.277 1.404
Tc -0.438 0.095 3.883
Tc -2.585 9.289 8.403
Tc 4.783 9.479 0.636
Tc 2.635 18.673 5.155
Tc 1.734 10.491 7.634
Tc 3.882 17.660 3.115
Tc 3.894 1.500 3.539
Tc 1.746 7.883 8.058
Se -0.748 9.840 2.912
Se -2.896 18.311 7.431
Se -2.638 11.739 8.012
Se -0.490 16.412 3.492
Se -0.461 2.541 4.295
Se -2.609 6.843 8.814
Se 1.868 0.300 2.714
Se -0.280 9.084 7.233
Se 2.477 9.684 1.805
Se 0.329 18.467 6.324
Se 4.806 11.925 0.224
Se 2.659 16.226 4.743
Se 2.687 2.355 5.546
Se 4.835 7.029 1.027
Se 5.093 0.457 1.607
Se 2.946 8.927 6.127
Br 1.013 13.036 2.264
Br -1.134 15.115 6.783
Br -1.099 2.669 7.849
Br 1.049 6.714 3.330
Br 1.149 12.053 5.709
Br 3.296 16.098 1.190
Br 3.332 3.652 2.255
Br 1.184 5.732 6.774

***

Entry 4:
5
Lattice="5.752 0.000 0.000 0.000 5.752 0.000 0.000 0.000 5.284" Properties=species:S:1:pos:R:3 comment="meta-GGA SCAN CsTlSeBr2, single point on PBEsol structure" e_tot_ev_per_cell=-173.5 sg="P4/mmm (123)" raw_formation_energy_ev_per_atom=-0.876 crystal_system=tetragonal pbc="T T T"
Cs 0.000 0.000 0.000
Tl 2.876 2.876 2.642
Se 2.876 2.876 0.000
Br 0.000 2.876 2.642
Br 2.876 0.000 2.642

***

Entry 5:
5
Lattice="5.662 0.000 0.000 0.000 5.662 0.000 0.000 0.000 6.079" Properties=species:S:1:pos:R:3 comment="meta-GGA SCAN CsWSe2Br, single point on PBEsol structure" e_tot_ev_per_cell=-157.3 sg="P4/mmm (123)" raw_formation_energy_ev_per_atom=1.960 crystal_system=tetragonal pbc="T T T"
Cs 0.000 0.000 0.000
W 2.831 2.831 3.040
Se 0.000 2.831 0.000
Se 2.831 0.000 0.000
Br 0.000 0.000 3.040

***

Entry 6:
5
Lattice="5.703 0.000 0.000 0.000 5.703 0.000 0.000 0.000 5.703" Properties=species:S:1:pos:R:3 comment="meta-GGA SCAN CsSn3Br, single point on PBEsol structure" e_tot_ev_per_cell=-163.0 sg="Pm-3m (221)" raw_formation_energy_ev_per_atom=0.407 crystal_system=cubic pbc="T T T"
Cs 0.000 0.000 0.000
Sn 0.000 2.851 2.851
Sn 2.851 0.000 2.851
Sn 2.851 2.851 0.000
Br 2.851 2.851 2.851

***

Entry 7:
16
Lattice="8.111 0.000 0.000 0.000 8.111 0.000 0.000 0.000 8.111" Properties=species:S:1:pos:R:3 comment="meta-GGA SCAN CsSrBr2, single point on PBEsol structure" e_tot_ev_per_cell=-419.4 sg="Fm-3m (225)" raw_formation_energy_ev_per_atom=-1.461 crystal_system=cubic pbc="T T T"
Cs 0.000 0.000 0.000
Cs 0.000 4.055 4.055
Cs 4.055 0.000 4.055
Cs 4.055 4.055 0.000
Sr 0.000 0.000 4.055
Sr 0.000 4.055 0.000
Sr 4.055 0.000 0.000
Sr 4.055 4.055 4.055
Br 2.028 2.028 2.028
Br 2.028 2.028 6.083
Br 2.028 6.083 2.028
Br 2.028 6.083 6.083
Br 6.083 2.028 2.028
Br 6.083 2.028 6.083
Br 6.083 6.083 2.028
Br 6.083 6.083 6.083

***

Entry 8:
5
Lattice="4.845 0.000 0.000 0.000 4.845 0.000 0.000 0.000 6.021" Properties=species:S:1:pos:R:3 comment="meta-GGA SCAN CsSrTa2Br, single point on PBEsol structure" e_tot_ev_per_cell=-205.9 sg="P4/mmm (123)" raw_formation_energy_ev_per_atom=1.356 crystal_system=tetragonal pbc="T T T"
Cs 0.000 0.000 0.000
Sr 2.422 2.422 0.000
Ta 0.000 2.422 3.011
Ta 2.422 0.000 3.011
Br 2.422 2.422 3.011

***

Entry 9:
10
Lattice="0.000 6.017 6.017 6.017 0.000 6.017 6.017 6.017 0.000" Properties=species:S:1:pos:R:3 comment="meta-GGA SCAN Cs3TlBr6, single point on PBEsol structure" e_tot_ev_per_cell=-316.4 sg="Fm-3m (225)" raw_formation_energy_ev_per_atom=-1.386 crystal_system=cubic pbc="T T T"
Cs 0.000 0.000 0.000
Cs 3.009 3.009 3.009
Cs 9.026 9.026 9.026
Tl 6.017 6.017 6.017
Br 6.017 6.017 3.286
Br 6.017 3.286 6.017
Br 8.748 6.017 6.017
Br 3.286 6.017 6.017
Br 6.017 8.748 6.017
Br 6.017 6.017 8.748

***

Entry 10:
10
Lattice="4.371 0.000 0.000 0.000 4.371 0.000 0.000 0.000 21.779" Properties=species:S:1:pos:R:3 comment="meta-GGA SCAN Cs2Tl2Br, single point on PBEsol structure" e_tot_ev_per_cell=-488.0 sg="I4/mmm (139)" raw_formation_energy_ev_per_atom=-0.839 crystal_system=tetragonal pbc="T T T"
Cs 0.000 0.000 2.012
Cs 0.000 0.000 19.767
Cs 2.186 2.186 8.877
Cs 2.186 2.186 12.901
Tl 0.000 2.186 5.445
Tl 0.000 2.186 16.334
Tl 2.186 0.000 5.445
Tl 2.186 0.000 16.334
Br 0.000 0.000 10.889
Br 2.186 2.186 0.000

***

Entry 11:
24
Lattice="6.803 0.000 0.000 0.000 7.483 0.000 0.000 0.000 17.544" Properties=species:S:1:pos:R:3 comment="meta-GGA SCAN CsTlBr4, single point on PBEsol structure" e_tot_ev_per_cell=-777.5 sg="P2_12_12_1 (19)" raw_formation_energy_ev_per_atom=-1.062 crystal_system=orthorhombic pbc="T T T"
Cs 0.809 0.378 6.504
Cs 2.593 7.105 15.276
Cs 4.211 3.363 11.041
Cs 5.994 4.120 2.269
Tl 0.679 0.215 11.081
Tl 2.723 7.269 2.309
Tl 4.080 3.527 6.463
Tl 6.124 3.956 15.235
Br 0.243 0.351 2.867
Br 0.444 2.266 16.821
Br 0.550 4.473 13.017
Br 0.800 2.434 9.709
Br 2.602 5.050 0.937
Br 2.851 3.010 4.245
Br 2.958 5.217 8.049
Br 3.158 7.132 11.639
Br 3.645 3.391 14.678
Br 3.846 1.475 0.723
Br 3.952 6.752 4.527
Br 4.201 1.308 7.835
Br 6.003 6.175 16.607
Br 6.253 0.732 13.299
Br 6.359 6.008 9.495
Br 6.560 4.093 5.906

***

Entry 12:
10
Lattice="7.445 0.000 0.000 -3.722 6.448 0.000 0.000 0.000 6.374" Properties=species:S:1:pos:R:3 comment="meta-GGA SCAN CsVBr3, single point on PBEsol structure" e_tot_ev_per_cell=-243.4 sg="P6_3/mmc (194)" raw_formation_energy_ev_per_atom=-1.608 crystal_system=hexagonal pbc="T T T"
Cs 0.000 4.298 1.593
Cs 3.722 2.149 4.780
V 0.000 0.000 0.000
V 0.000 0.000 3.187
Br 0.000 2.053 4.780
Br -1.945 5.421 4.780
Br 1.778 1.026 1.593
Br 1.945 5.421 4.780
Br 5.667 1.026 1.593
Br 3.722 4.395 1.593

***

Entry 13:
10
Lattice="0.000 6.080 6.080 6.080 0.000 6.080 6.080 6.080 0.000" Properties=species:S:1:pos:R:3 comment="meta-GGA SCAN Cs3YBr6, single point on PBEsol structure" e_tot_ev_per_cell=-278.5 sg="Fm-3m (225)" raw_formation_energy_ev_per_atom=-2.043 crystal_system=cubic pbc="T T T"
Cs 0.000 0.000 0.000
Cs 3.040 3.040 3.040
Cs 9.121 9.121 9.121
Y 6.080 6.080 6.080
Br 6.080 6.080 3.326
Br 6.080 3.326 6.080
Br 8.834 6.080 6.080
Br 3.326 6.080 6.080
Br 6.080 8.834 6.080
Br 6.080 6.080 8.834

***

Entry 14:
5
Lattice="7.153 0.000 0.000 0.000 7.153 0.000 0.000 0.000 7.153" Properties=species:S:1:pos:R:3 comment="meta-GGA SCAN Cs3YBr, single point on PBEsol structure" e_tot_ev_per_cell=-159.6 sg="Pm-3m (221)" raw_formation_energy_ev_per_atom=0.236 crystal_system=cubic pbc="T T T"
Cs 0.000 0.000 3.577
Cs 0.000 3.577 0.000
Cs 3.577 0.000 0.000
Y 0.000 0.000 0.000
Br 3.577 3.577 3.577

***

Entry 15:
10
Lattice="6.693 0.000 0.000 0.000 6.693 0.000 0.000 0.000 12.516" Properties=species:S:1:pos:R:3 comment="meta-GGA SCAN Cs2ZnBr2, single point on PBEsol structure" e_tot_ev_per_cell=-267.8 sg="I4/mmm (139)" raw_formation_energy_ev_per_atom=-1.173 crystal_system=tetragonal pbc="T T T"
Cs 0.000 0.000 2.296
Cs 0.000 0.000 10.221
Cs 3.347 3.347 3.963
Cs 3.347 3.347 8.554
Zn 0.000 0.000 6.258
Zn 3.347 3.347 0.000
Br 0.000 3.347 3.129
Br 0.000 3.347 9.387
Br 3.347 0.000 3.129
Br 3.347 0.000 9.387

***

Entry 16:
4
Lattice="4.484 0.000 0.000 0.000 4.484 0.000 0.000 0.000 4.484" Properties=species:S:1:pos:R:3 comment="meta-GGA SCAN CuBr3, single point on PBEsol structure" e_tot_ev_per_cell=-70.8 sg="Pm-3m (221)" raw_formation_energy_ev_per_atom=0.706 crystal_system=cubic pbc="T T T"
Cu 0.000 0.000 0.000
Br 0.000 2.242 2.242
Br 2.242 0.000 2.242
Br 2.242 2.242 0.000

***

Entry 17:
12
Lattice="3.462 0.000 0.000 0.000 7.340 0.000 0.000 0.000 12.472" Properties=species:S:1:pos:R:3 comment="meta-GGA SCAN CuBr2, single point on PBEsol structure" e_tot_ev_per_cell=-220.3 sg="Fmmm (69)" raw_formation_energy_ev_per_atom=-0.323 crystal_system=orthorhombic pbc="T T T"
Cu 0.000 0.000 0.000
Cu 0.000 3.670 6.236
Cu 1.731 0.000 6.236
Cu 1.731 3.670 0.000
Br 0.000 0.000 4.607
Br 0.000 0.000 7.865
Br 0.000 3.670 1.629
Br 0.000 3.670 10.843
Br 1.731 0.000 1.629
Br 1.731 0.000 10.843
Br 1.731 3.670 4.607
Br 1.731 3.670 7.865

***

Entry 18:
12
Lattice="12.844 0.000 0.000 0.000 3.437 0.000 -6.008 0.000 6.893" Properties=species:S:1:pos:R:3 comment="meta-GGA SCAN CuBr2, single point on PBEsol structure" e_tot_ev_per_cell=-220.7 sg="C2/m (12)" raw_formation_energy_ev_per_atom=-0.353 crystal_system=monoclinic pbc="T T T"
Cu 0.995 0.000 1.948
Cu -0.581 1.719 4.946
Cu 7.416 1.719 1.948
Cu 5.841 0.000 4.946
Br -0.680 1.719 1.947
Br -2.197 0.000 5.205
Br 2.611 1.719 1.688
Br 1.094 0.000 4.947
Br 5.742 0.000 1.947
Br 4.225 1.719 5.205
Br 9.033 0.000 1.688
Br 7.516 1.719 4.947

***

Entry 19:
12
Lattice="5.253 0.000 0.000 0.000 5.253 0.000 0.000 0.000 10.092" Properties=species:S:1:pos:R:3 comment="meta-GGA SCAN CuBr2, single point on PBEsol structure" e_tot_ev_per_cell=-220.0 sg="I4_1/amd (141)" raw_formation_energy_ev_per_atom=-0.291 crystal_system=tetragonal pbc="T T T"
Cu 0.000 1.313 3.785
Cu 0.000 3.940 6.308
Cu 2.626 1.313 1.262
Cu 2.626 3.940 8.831
Br 0.000 1.313 1.432
Br 0.000 1.313 6.138
Br 0.000 3.940 3.955
Br 0.000 3.940 8.661
Br 2.626 1.313 3.615
Br 2.626 1.313 9.001
Br 2.626 3.940 1.092
Br 2.626 3.940 6.478

***

Entry 20:
10
Lattice="3.804 0.000 0.000 0.000 11.505 0.000 0.000 0.000 5.466" Properties=species:S:1:pos:R:3 comment="meta-GGA SCAN Cu2Br3, single point on PBEsol structure" e_tot_ev_per_cell=-181.0 sg="Imm2 (44)" raw_formation_energy_ev_per_atom=-0.347 crystal_system=orthorhombic pbc="T T T"
Cu 0.000 1.860 0.000
Cu 0.000 9.644 0.000
Cu 1.902 3.892 2.733
Cu 1.902 7.613 2.733
Br 0.000 0.000 1.409
Br 0.000 3.885 1.284
Br 0.000 7.620 1.284
Br 1.902 1.867 4.017
Br 1.902 5.752 4.142
Br 1.902 9.637 4.017

***

Entry 21:
6
Lattice="2.813 0.000 0.000 0.000 3.514 0.000 0.000 0.000 13.328" Properties=species:S:1:pos:R:3 comment="meta-GGA SCAN CuBr2, single point on PBEsol structure" e_tot_ev_per_cell=-107.4 sg="Immm (71)" raw_formation_energy_ev_per_atom=0.146 crystal_system=orthorhombic pbc="T T T"
Cu 0.000 0.000 0.000
Cu 1.407 1.757 6.664
Br 0.000 0.000 4.972
Br 0.000 0.000 8.356
Br 1.407 1.757 1.692
Br 1.407 1.757 11.636

***

Entry 22:
12
Lattice="3.445 0.000 0.000 0.000 7.098 0.000 0.000 0.000 12.295" Properties=species:S:1:pos:R:3 comment="meta-GGA SCAN CuBr2, single point on PBEsol structure" e_tot_ev_per_cell=-221.0 sg="Cmce (64)" raw_formation_energy_ev_per_atom=-0.374 crystal_system=orthorhombic pbc="T T T"
Cu 0.000 0.000 0.000
Cu 0.000 3.549 6.148
Cu 1.722 0.000 6.148
Cu 1.722 3.549 0.000
Br 0.000 0.795 4.689
Br 0.000 2.755 10.837
Br 0.000 4.344 1.458
Br 0.000 6.304 7.606
Br 1.722 0.795 1.458
Br 1.722 2.755 7.606
Br 1.722 4.344 4.689
Br 1.722 6.304 10.837

***

Entry 23:
5
Lattice="4.595 0.000 0.000 0.000 4.595 0.000 0.000 0.000 4.595" Properties=species:S:1:pos:R:3 comment="meta-GGA SCAN Cu3BrF, single point on PBEsol structure" e_tot_ev_per_cell=-65.7 sg="Pm-3m (221)" raw_formation_energy_ev_per_atom=0.572 crystal_system=cubic pbc="T T T"
Cu 0.000 0.000 2.297
Cu 0.000 2.297 0.000
Cu 2.297 0.000 0.000
Br 0.000 0.000 0.000
F 2.297 2.297 2.297

***

Entry 24:
5
Lattice="4.020 0.000 0.000 0.000 4.020 0.000 0.000 0.000 5.107" Properties=species:S:1:pos:R:3 comment="meta-GGA SCAN CuIr2BrF, single point on PBEsol structure" e_tot_ev_per_cell=-173.7 sg="P4/mmm (123)" raw_formation_energy_ev_per_atom=1.330 crystal_system=tetragonal pbc="T T T"
Cu 0.000 0.000 0.000
Ir 0.000 2.010 2.554
Ir 2.010 0.000 2.554
Br 2.010 2.010 0.000
F 2.010 2.010 2.554

***

Entry 25:
5
Lattice="4.257 0.000 0.000 0.000 4.257 0.000 0.000 0.000 4.257" Properties=species:S:1:pos:R:3 comment="meta-GGA SCAN Fe3CuBr, single point on PBEsol structure" e_tot_ev_per_cell=-82.3 sg="Pm-3m (221)" raw_formation_energy_ev_per_atom=1.342 crystal_system=cubic pbc="T T T"
Fe 0.000 0.000 2.128
Fe 0.000 2.128 0.000
Fe 2.128 0.000 0.000
Cu 2.128 2.128 2.128
Br 0.000 0.000 0.000